No. 1
# AcErAu4 (GGA-PBE, optimized geometry)
data_AcErAu4
_symmetry_space_group_name_H-M 'C 1 2/m 1'
_symmetry_Int_Tables_number 12
_symmetry_space_group_name_Hall '-C 2y'
_cell_length_a 4.777
_cell_length_b 8.273
_cell_length_c 7.333
_cell_angle_alpha 90.00
_cell_angle_beta 90.22
_cell_angle_gamma 90.00
loop_
_atom_site_label
_atom_site_fract_x
_atom_site_fract_y
_atom_site_fract_z
Ac1 0.000 0.000 0.000
Er1 0.000 0.000 0.500
Au1 0.000 0.333 0.285
# Formation enthalpy at 0 K (eV/atom): -0.7985


No. 2
# AcHfTiN3 (GGA-PBE, optimized geometry)
data_AcHfTiN3
_symmetry_space_group_name_H-M 'P 1 21/m 1'
_symmetry_Int_Tables_number 11
_symmetry_space_group_name_Hall '-P 2yb'
_cell_length_a 7.203
_cell_length_b 3.421
_cell_length_c 8.061
_cell_angle_alpha 90.00
_cell_angle_beta 104.33
_cell_angle_gamma 90.00
loop_
_atom_site_label
_atom_site_fract_x
_atom_site_fract_y
_atom_site_fract_z
Ac1 0.188 0.250 0.201
Hf1 0.348 0.750 0.873
Ti1 0.116 0.250 0.598
N1 0.134 0.250 0.850
N2 0.185 0.750 0.505
N3 0.450 0.750 0.140
# Energy relative to the elements, uncorrected (kJ/mol of formula units): -726


No. 3
# Ca3CdSi (GGA-PBE, optimized geometry)
data_Ca3CdSi
_symmetry_space_group_name_H-M 'P m -3 m'
_symmetry_Int_Tables_number 221
_symmetry_space_group_name_Hall '-P 4 2 3'
_cell_length_a 5.664
_cell_length_b 5.664
_cell_length_c 5.664
_cell_angle_alpha 90.00
_cell_angle_beta 90.00
_cell_angle_gamma 90.00
loop_
_atom_site_label
_atom_site_fract_x
_atom_site_fract_y
_atom_site_fract_z
Ca1 0.000 0.000 0.500
Cd1 0.500 0.500 0.500
Si1 0.000 0.000 0.000
# Energy relative to the elements, uncorrected (kJ/mol of formula units): -73
# Energy above the lowest structure with this stoichiometry (meV per atom): 0.0


No. 4
# NbCdPdRuI (GGA-PBE, optimized geometry)
data_NbCdPdRuI
_symmetry_space_group_name_H-M 'C 1 m 1'
_symmetry_Int_Tables_number 8
_symmetry_space_group_name_Hall 'C -2y'
_cell_length_a 7.804
_cell_length_b 4.194
_cell_length_c 7.950
_cell_angle_alpha 90.00
_cell_angle_beta 107.74
_cell_angle_gamma 90.00
loop_
_atom_site_label
_atom_site_fract_x
_atom_site_fract_y
_atom_site_fract_z
Nb1 0.000 0.000 0.000
Cd1 0.049 0.500 0.645
Pd1 0.285 0.000 0.823
Ru1 0.169 0.500 0.010
I1 0.418 0.500 0.328
# Energy relative to the elements, uncorrected (kJ/mol of formula units): 70
# Energy above the lowest structure with this stoichiometry (meV per atom): 136.6


No. 5
# La3Pm3Hg2 (GGA-PBE, optimized geometry)
data_La3Pm3Hg2
_symmetry_space_group_name_H-M 'C m c m'
_symmetry_Int_Tables_number 63
_symmetry_space_group_name_Hall '-C 2c 2'
_cell_length_a 5.298
_cell_length_b 12.179
_cell_length_c 16.289
_cell_angle_alpha 90.00
_cell_angle_beta 90.00
_cell_angle_gamma 90.00
loop_
_atom_site_label
_atom_site_fract_x
_atom_site_fract_y
_atom_site_fract_z
La1 0.000 0.040 0.111
La2 0.000 0.298 0.250
Pm1 0.000 0.361 0.032
Pm2 0.000 0.428 0.750
Hg1 0.000 0.229 0.627
# Formation enthalpy at 0 K (eV/atom): -0.1854


No. 6
# Tb3ZrCd12 (GGA-PBE, optimized geometry)
data_Tb3ZrCd12
_symmetry_space_group_name_H-M 'P 4/m m m'
_symmetry_Int_Tables_number 123
_symmetry_space_group_name_Hall '-P 4 2'
_cell_length_a 4.510
_cell_length_b 4.510
_cell_length_c 18.595
_cell_angle_alpha 90.00
_cell_angle_beta 90.00
_cell_angle_gamma 90.00
loop_
_atom_site_label
_atom_site_fract_x
_atom_site_fract_y
_atom_site_fract_z
Tb1 0.000 0.000 0.000
Tb2 0.000 0.000 0.256
Zr1 0.000 0.000 0.500
Cd1 0.000 0.500 0.128
Cd2 0.000 0.500 0.383
Cd3 0.500 0.500 0.000
Cd4 0.500 0.500 0.257
Cd5 0.500 0.500 0.500
# Formation enthalpy at 0 K (eV/atom): -0.2070


No. 7
# Sr4BeRu (GGA-PBE, optimized geometry)
data_Sr4BeRu
_symmetry_space_group_name_H-M 'F -4 3 m'
_symmetry_Int_Tables_number 216
_symmetry_space_group_name_Hall 'F -4 2 3'
_cell_length_a 9.274
_cell_length_b 9.274
_cell_length_c 9.274
_cell_angle_alpha 90.00
_cell_angle_beta 90.00
_cell_angle_gamma 90.00
loop_
_atom_site_label
_atom_site_fract_x
_atom_site_fract_y
_atom_site_fract_z
Sr1 0.124 0.124 0.376
Be1 0.000 0.000 0.000
Ru1 0.250 0.250 0.750
# Formation enthalpy at 0 K (eV/atom): 1.3630


No. 8
# Dy4Y5Th2 (GGA-PBE, optimized geometry)
data_Dy4Y5Th2
_symmetry_space_group_name_H-M 'P 1 2/m 1'
_symmetry_Int_Tables_number 10
_symmetry_space_group_name_Hall '-P 2y'
_cell_length_a 8.821
_cell_length_b 3.498
_cell_length_c 11.766
_cell_angle_alpha 90.00
_cell_angle_beta 94.19
_cell_angle_gamma 90.00
loop_
_atom_site_label
_atom_site_fract_x
_atom_site_fract_y
_atom_site_fract_z
Dy1 0.159 0.000 0.392
Dy2 0.304 0.000 0.953
Y1 0.197 0.500 0.663
Y2 0.427 0.500 0.210
Y3 0.500 0.500 0.500
Th1 0.038 0.500 0.134
# Formation enthalpy at 0 K (eV/atom): 0.1391
# Energy above the lowest structure with this stoichiometry (meV per atom): 0.0